An optimized crystal structure of ScCdS2Cl. Source: Alexandria, functional PBE.

As for the density of states at the Fermi level: 0.666 states/eV per atom. Its uncorrected formation energy is -0.22 eV per atom. For the energy, the calculation gives -3.69 eV per atom. As for the distance to the lowest polymorph of the same formula: 644.3 meV/atom. As for the magnetization: 0.06 μB per atom. As for the crystal system: tetragonal.

Cell lengths 4.9952, 4.9952, 4.9396 Å; angles 90.00, 90.00, 90.00 degrees
Space group P4/mmm (No. 123)
One atom of each set of equivalent atoms:
Sc  0.0000  0.0000  0.0000 [1 per cell]
Cd  0.5000  0.5000  0.5000 [1 per cell]
S  0.0000  0.5000  0.5000 [2 per cell]
Cl  0.5000  0.5000  0.0000 [1 per cell]